{"formula": "MoSe2F", "functional": "PBE with a Hubbard U", "state": "optimized geometry", "polymorph_energy_mev_per_atom": 0, "magnetic_moment_mub_per_atom": 0.735, "cell": [[2.020, 1.167, 6.916], [-2.020, 1.167, 6.916], [0.000, -2.333, 6.916]], "species": ["Mo", "Se", "Se", "F"], "fractional_positions": [[0.000, 0.000, 0.000], [0.396, 0.396, 0.396], [0.604, 0.604, 0.604], [0.500, 0.500, 0.500]]}